(1)
VASP calculation (GGA-PBE) on crystalline RbNpInF6 at its relaxed geometry.

## Properties
VASP energy   -54.44 eV per formula unit
Volume   208.82 Å³ per cell
Energy relative to the elements, uncorrected   -2.951 eV per atom

a b c (Å): 6.783 6.783 5.249
angles (deg): 90.01 89.99 59.86
Site moments in Bohr magnetons follow the coordinates.
Sites, in units of the cell vectors:
F 0.060 0.605 0.721  -0.02
F 0.606 0.061 0.279  -0.02
F 0.335 0.062 0.723  -0.02
Rb 0.000 0.000 0.999  0.00
F 0.603 0.335 0.723  -0.02
In 0.667 0.667 0.499  0.00
F 0.063 0.333 0.278  -0.02
F 0.333 0.604 0.277  -0.02
Np 0.333 0.333 0.500  3.08

=====

(2)
VASP calculation (GGA-PBE) on crystalline Rb2NpInF8 at its relaxed geometry.

## Properties
VASP energy   -67.42 eV per formula unit
Volume   229.44 Å³ per cell
Energy relative to the elements, uncorrected   -2.903 eV per atom

a b c (Å): 6.220 6.220 7.383
angles (deg): 114.91 114.91 90.00
Site moments in Bohr magnetons follow the coordinates.
Sites, in units of the cell vectors:
F 0.156 0.648 0.717  -0.03
F 0.931 0.844 0.283  -0.03
F 0.352 0.439 0.283  -0.03
F 0.561 0.069 0.717  -0.03
In 0.500 0.500 0.000  -0.09
F 0.352 0.844 0.283  -0.03
Rb 0.750 0.250 0.500  0.00
Rb 0.000 0.000 0.000  0.00
F 0.561 0.648 0.717  -0.03
F 0.931 0.439 0.283  -0.03
Np 0.250 0.750 0.500  2.31
F 0.156 0.069 0.717  -0.03

=====

(3)
VASP calculation (GGA-PBE) on crystalline RbNpIn2F8 at its relaxed geometry.

## Properties
VASP energy   -66.66 eV per formula unit
Volume   226.21 Å³ per cell
Energy relative to the elements, uncorrected   -2.692 eV per atom

a b c (Å): 4.069 6.556 8.480
angles (deg): 89.96 90.00 90.16
Site moments in Bohr magnetons follow the coordinates.
Sites, in units of the cell vectors:
F 0.499 0.818 0.000  -0.03
F 0.999 0.790 0.801  -0.03
Rb 0.000 0.000 0.500  0.00
In 0.500 0.500 0.726  -0.04
F 0.001 0.210 0.801  -0.03
F 0.999 0.790 0.199  -0.03
F 0.001 0.210 0.199  -0.03
F 0.498 0.704 0.500  -0.01
Np 0.000 0.000 0.000  2.76
In 0.500 0.500 0.274  -0.04
F 0.502 0.296 0.500  -0.01
F 0.501 0.182 0.000  -0.03

=====

(4)
VASP calculation (GGA-PBE) on crystalline NpTl2InF6 at its relaxed geometry.

## Properties
VASP energy   -55.60 eV per formula unit
Volume   440.36 Å³ per cell
Energy relative to the elements, uncorrected   -2.396 eV per atom

a b c (Å): 7.242 6.470 9.400
angles (deg): 90.00 91.05 90.00
Site moments in Bohr magnetons follow the coordinates.
Sites, in units of the cell vectors:
Np 0.000 0.500 0.000  3.70
F 0.225 0.699 0.100  -0.01
Tl 0.501 0.503 0.747  0.01
Tl 0.001 0.997 0.247  0.01
Tl 0.499 0.497 0.253  0.01
In 0.000 0.500 0.500  0.01
In 0.500 0.000 0.000  0.01
F 0.275 0.199 0.400  -0.01
F 0.725 0.801 0.600  -0.01
F 0.893 0.434 0.220  -0.01
F 0.607 0.934 0.280  -0.01
Tl 0.999 0.003 0.753  0.01
F 0.175 0.212 0.024  -0.01
F 0.393 0.066 0.720  -0.01
F 0.675 0.288 0.524  -0.01
F 0.325 0.712 0.476  -0.01
Np 0.500 0.000 0.500  3.70
F 0.775 0.301 0.900  -0.01
F 0.107 0.566 0.780  -0.01
F 0.825 0.788 0.976  -0.01

=====

(5)
VASP calculation (GGA-PBE) on crystalline NpTlInF6 at its relaxed geometry.

## Properties
VASP energy   -53.86 eV per formula unit
Volume   422.71 Å³ per cell
Energy relative to the elements, uncorrected   -2.732 eV per atom

a b c (Å): 5.792 5.792 12.598
angles (deg): 90.00 90.00 90.00
Site moments in Bohr magnetons follow the coordinates.
Sites, in units of the cell vectors:
F 0.731 0.731 0.329  -0.02
Np 0.500 0.500 0.833  3.08
F 0.182 0.818 0.207  -0.02
F 0.818 0.182 0.207  -0.02
F 0.320 0.320 0.958  -0.02
F 0.680 0.680 0.958  -0.02
Tl 0.500 0.500 0.501  0.00
Tl 0.000 0.000 0.001  0.00
F 0.769 0.231 0.829  -0.02
F 0.318 0.318 0.707  -0.02
F 0.682 0.682 0.707  -0.02
In 0.500 0.500 0.179  -0.01
F 0.231 0.769 0.829  -0.02
F 0.180 0.820 0.458  -0.02
F 0.820 0.180 0.458  -0.02
F 0.269 0.269 0.329  -0.02
Np 0.000 0.000 0.333  3.08
In 0.000 0.000 0.679  -0.01

=====

(6)
VASP calculation (GGA-PBE) on crystalline InOF2 at its relaxed geometry.

## Properties
VASP energy   -15.39 eV per formula unit
Volume   42.97 Å³ per cell
Energy relative to the elements, uncorrected   -0.988 eV per atom
Polymorph energy (0 for the lowest one)   610.9 meV per atom

a b c (Å): 3.932 3.932 3.932
angles (deg): 60.00 60.00 60.00
Site moments in Bohr magnetons follow the coordinates.
Sites, in units of the cell vectors:
F 0.250 0.250 0.250  0.05
In 0.500 0.500 0.500  -0.06
F 0.750 0.750 0.750  0.05
O 0.000 0.000 0.000  0.81

=====

(7)
VASP calculation (GGA-PBE) on crystalline InO2F2 at its relaxed geometry.

## Properties
VASP energy   -17.06 eV per formula unit
Volume   56.90 Å³ per cell
Energy relative to the elements, uncorrected   -0.132 eV per atom

a b c (Å): 3.909 3.909 3.723
angles (deg): 90.00 90.00 90.00
Sites, in units of the cell vectors:
F 0.000 0.500 0.000
O 0.000 0.000 0.500
In 0.500 0.500 0.500
F 0.500 0.000 0.000
O 0.000 0.000 0.000

=====

(8)
VASP calculation (GGA-PBE) on crystalline InOF at its relaxed geometry.

## Properties
VASP energy   -15.18 eV per formula unit
Volume   185.32 Å³ per cell
Energy relative to the elements, uncorrected   -1.870 eV per atom

a b c (Å): 4.092 4.494 10.079
angles (deg): 90.00 90.00 90.00
Sites, in units of the cell vectors:
O 0.750 0.973 0.407
F 0.750 0.535 0.667
In 0.250 0.954 0.383
In 0.250 0.454 0.117
O 0.750 0.473 0.093
In 0.750 0.546 0.883
F 0.750 0.035 0.833
F 0.250 0.965 0.167
O 0.250 0.027 0.593
O 0.250 0.527 0.907
F 0.250 0.465 0.333
In 0.750 0.046 0.617

=====

(9)
VASP calculation (GGA-PBE) on crystalline InOF2 at its relaxed geometry.

## Properties
VASP energy   -14.68 eV per formula unit
Volume   79.71 Å³ per cell
Energy relative to the elements, uncorrected   -0.810 eV per atom
Polymorph energy (0 for the lowest one)   789.4 meV per atom

a b c (Å): 7.104 7.104 7.104
angles (deg): 30.07 30.07 30.07
Site moments in Bohr magnetons follow the coordinates.
Sites, in units of the cell vectors:
O 0.000 0.000 0.000  1.37
F 0.874 0.874 0.874  0.02
In 0.500 0.500 0.500  0.01
F 0.126 0.126 0.126  0.02

=====

(10)
VASP calculation (GGA-PBE) on crystalline InO2F4 at its relaxed geometry.

## Properties
VASP energy   -30.10 eV per formula unit
Volume   108.21 Å³ per cell
Energy relative to the elements, uncorrected   -1.423 eV per atom

a b c (Å): 3.402 5.221 6.140
angles (deg): 85.12 86.54 93.57
Site moments in Bohr magnetons follow the coordinates.
Sites, in units of the cell vectors:
F 0.493 0.122 0.183  0.00
F 0.955 0.658 0.199  -0.02
In 0.000 0.000 0.000  0.00
F 0.045 0.342 0.801  -0.02
O 0.431 0.393 0.517  0.43
F 0.507 0.878 0.817  0.00
O 0.569 0.607 0.483  0.43

=====

(11)
VASP calculation (GGA-PBE) on crystalline InOF3 at its relaxed geometry.

## Properties
VASP energy   -23.10 eV per formula unit
Volume   398.52 Å³ per cell
Energy relative to the elements, uncorrected   -1.958 eV per atom
Polymorph energy (0 for the lowest one)   0.0 meV per atom

a b c (Å): 6.643 8.306 8.254
angles (deg): 118.94 90.00 90.00
Site moments in Bohr magnetons follow the coordinates.
Sites, in units of the cell vectors:
O 0.907 0.500 0.000  0.81
F 0.000 0.090 0.904  0.00
F 0.000 0.594 0.408  0.00
O 0.093 0.500 0.000  0.81
O 0.407 0.000 0.500  0.81
F 0.000 0.910 0.096  0.00
F 0.250 0.749 0.751  0.00
F 0.750 0.751 0.749  0.00
O 0.593 0.000 0.500  0.81
F 0.500 0.094 0.908  0.00
F 0.500 0.590 0.404  0.00
In 0.750 0.500 0.500  0.00
In 0.250 0.500 0.500  0.00
F 0.000 0.406 0.592  0.00
F 0.750 0.251 0.249  0.00
F 0.500 0.410 0.596  0.00
F 0.500 0.906 0.092  0.00
In 0.750 0.000 0.000  0.00
F 0.250 0.249 0.251  0.00
In 0.250 0.000 0.000  0.00

=====

(12)
VASP calculation (GGA-PBE) on crystalline InOF2 at its relaxed geometry.

## Properties
VASP energy   -17.84 eV per formula unit
Volume   76.02 Å³ per cell
Energy relative to the elements, uncorrected   -1.599 eV per atom
Polymorph energy (0 for the lowest one)   0.0 meV per atom

a b c (Å): 4.227 4.227 4.262
angles (deg): 89.24 89.24 86.81
Site moments in Bohr magnetons follow the coordinates.
Sites, in units of the cell vectors:
O 0.981 0.019 0.500  0.76
In 0.000 0.000 0.000  -0.02
F 0.500 0.989 0.001  0.01
F 0.011 0.500 0.999  0.01

=====

(13)
VASP calculation (GGA-PBE) on crystalline InOF2 at its relaxed geometry.

## Properties
VASP energy   -16.15 eV per formula unit
Volume   93.48 Å³ per cell
Energy relative to the elements, uncorrected   -1.177 eV per atom
Polymorph energy (0 for the lowest one)   422.1 meV per atom

a b c (Å): 3.534 3.534 7.890
angles (deg): 77.06 77.06 90.00
Site moments in Bohr magnetons follow the coordinates.
Sites, in units of the cell vectors:
F 0.375 0.346 0.750  0.09
In 0.750 0.250 0.500  -0.02
F 0.654 0.125 0.250  0.09
F 0.875 0.904 0.750  0.10
O 0.250 0.750 0.500  0.71
In 0.000 0.000 0.000  -0.02
F 0.096 0.625 0.250  0.09
O 0.500 0.500 0.000  0.71

=====

(14)
VASP calculation (GGA-PBE) on crystalline InO2F2 at its relaxed geometry.

## Properties
VASP energy   -15.86 eV per formula unit
Volume   57.53 Å³ per cell
Energy relative to the elements, uncorrected   0.108 eV per atom

a b c (Å): 3.622 3.622 4.385
angles (deg): 90.00 90.00 90.00
Site moments in Bohr magnetons follow the coordinates.
Sites, in units of the cell vectors:
O 0.000 0.500 0.000  -0.19
F 0.000 0.000 0.500  0.01
F 0.000 0.000 0.000  -0.03
In 0.500 0.500 0.500  0.01
O 0.500 0.000 0.000  -0.19

=====

(15)
VASP calculation (GGA-PBE) on crystalline InO2F at its relaxed geometry.

## Properties
VASP energy   -17.36 eV per formula unit
Volume   99.54 Å³ per cell
Energy relative to the elements, uncorrected   -0.709 eV per atom
Polymorph energy (0 for the lowest one)   0.0 meV per atom

a b c (Å): 3.580 3.580 8.167
angles (deg): 77.34 77.34 90.00
Sites, in units of the cell vectors:
In 0.000 0.000 0.000
O 0.875 0.054 0.750
O 0.946 0.625 0.250
F 0.250 0.750 0.500
In 0.750 0.250 0.500
O 0.804 0.125 0.250
F 0.500 0.500 0.000
O 0.375 0.196 0.750

=====

(16)
VASP calculation (GGA-PBE) on crystalline In3OF7 at its relaxed geometry.

## Properties
VASP energy   -51.06 eV per formula unit
Volume   186.33 Å³ per cell
Energy relative to the elements, uncorrected   -2.254 eV per atom

a b c (Å): 4.778 6.710 6.710
angles (deg): 120.00 90.00 90.00
Sites, in units of the cell vectors:
F 0.999 0.667 0.333
O 0.563 0.333 0.667
F 0.569 0.814 0.628
In 0.772 0.493 0.986
F 0.569 0.814 0.186
F 0.010 0.179 0.821
In 0.772 0.493 0.507
F 0.010 0.179 0.358
F 0.010 0.642 0.821
F 0.569 0.372 0.186
In 0.772 0.014 0.507

=====

(17)
VASP calculation (GGA-PBE) on crystalline InOF at its relaxed geometry.

## Properties
VASP energy   -13.39 eV per formula unit
Volume   35.26 Å³ per cell
Energy relative to the elements, uncorrected   -1.273 eV per atom

a b c (Å): 3.288 3.288 4.005
angles (deg): 114.23 114.23 90.00
Sites, in units of the cell vectors:
F 0.289 0.289 0.578
O 0.949 0.949 0.898
In 0.612 0.612 0.224

=====

(18)
VASP calculation (GGA-PBE) on crystalline InOF3 at its relaxed geometry.

## Properties
VASP energy   -20.01 eV per formula unit
Volume   74.28 Å³ per cell
Energy relative to the elements, uncorrected   -1.341 eV per atom
Polymorph energy (0 for the lowest one)   617.9 meV per atom

a b c (Å): 4.204 4.204 4.204
angles (deg): 90.00 90.00 90.00
Site moments in Bohr magnetons follow the coordinates.
Sites, in units of the cell vectors:
F 0.000 0.500 0.000  0.02
F 0.000 0.000 0.500  0.04
O 0.500 0.500 0.500  1.52
F 0.500 0.000 0.000  0.04
In 0.000 0.000 0.000  -0.01

=====

(19)
VASP calculation (GGA-PBE) on crystalline InO2F2 at its relaxed geometry.

## Properties
VASP energy   -20.13 eV per formula unit
Volume   75.63 Å³ per cell
Energy relative to the elements, uncorrected   -0.747 eV per atom

a b c (Å): 4.186 4.186 4.315
angles (deg): 90.00 90.00 90.00
Site moments in Bohr magnetons follow the coordinates.
Sites, in units of the cell vectors:
F 0.000 0.500 0.000  0.03
F 0.500 0.000 0.000  0.03
In 0.000 0.000 0.000  -0.02
O 0.000 0.000 0.500  0.80
O 0.500 0.500 0.500  1.61

=====

(20)
VASP calculation (GGA-PBE) on crystalline In4O5F at its relaxed geometry.

## Properties
VASP energy   -52.71 eV per formula unit
Volume   283.53 Å³ per cell
Energy relative to the elements, uncorrected   -1.510 eV per atom

a b c (Å): 5.432 6.710 7.780
angles (deg): 90.00 90.00 90.00
Sites, in units of the cell vectors:
O 0.249 0.264 0.204
In 0.973 0.500 0.766
O 0.249 0.736 0.796
In 0.027 0.000 0.266
O 0.249 0.736 0.204
In 0.483 0.736 0.500
In 0.973 0.500 0.234
O 0.751 0.236 0.704
In 0.517 0.236 0.000
In 0.483 0.264 0.500
O 0.751 0.764 0.296
F 0.139 0.500 0.500
O 0.751 0.764 0.704
O 0.751 0.236 0.296
O 0.249 0.264 0.796
O 0.258 0.000 0.500
In 0.027 0.000 0.734
F 0.861 0.000 0.000
O 0.742 0.500 0.000
In 0.517 0.764 0.000